! ScCdGe | Alexandria via LeMat-Bulk | PBE | optimized geometry; values from VASP
! Energy of formation in eV per atom: -0.2226
! Total magnetization in μB per atom: 0.087
! SG: No. 166
&SYSTEM
  ibrav = 0, nat = 6, ntyp = 3
/
ATOMIC_SPECIES
Ge 72.64 Ge.upf
Cd 112.41 Cd.upf
Sc 44.96 Sc.upf
CELL_PARAMETERS angstrom
-2.119 3.970 -0.196
-3.505 0.548 -2.776
-6.710 -0.796 4.660
ATOMIC_POSITIONS crystal
Ge 0.253 0.253 0.240
Ge 0.747 0.747 0.760
Cd 0.127 0.127 0.620
Cd 0.873 0.873 0.380
Sc 0.376 0.376 0.872
Sc 0.624 0.624 0.128

---

! HfOsAuBr2 | Alexandria via LeMat-Bulk | PBE | optimized geometry; values from VASP
! E_form (uncorrected) in eV per atom: 1.59
! Total magnetization in μB per atom: 0.000
! SG: No. 123
&SYSTEM
  ibrav = 0, nat = 5, ntyp = 4
/
ATOMIC_SPECIES
Os 190.23 Os.upf
Hf 178.49 Hf.upf
Au 196.97 Au.upf
Br 79.90 Br.upf
CELL_PARAMETERS angstrom
4.898 0.000 0.000
0.000 5.324 0.000
0.000 0.000 4.898
ATOMIC_POSITIONS crystal
Os 0.000 0.500 0.000
Hf 0.500 0.500 0.500
Au 0.000 0.000 0.000
Br 0.000 0.000 0.500
Br 0.500 0.000 0.000

---

! Cu2NiSe6 | Alexandria via LeMat-Bulk | PBE | optimized geometry; values from VASP
! E_form (uncorrected) in eV per atom: -0.05
! Total magnetization in μB per atom: 0.000
! SG: No. 15
&SYSTEM
  ibrav = 0, nat = 18, ntyp = 3
/
ATOMIC_SPECIES
Cu 63.55 Cu.upf
Ni 58.69 Ni.upf
Se 78.96 Se.upf
CELL_PARAMETERS angstrom
-4.139 3.594 2.640
-2.650 -6.280 3.873
5.442 2.010 5.273
ATOMIC_POSITIONS crystal
Cu 0.334 0.577 0.801
Cu 0.166 0.199 0.423
Cu 0.666 0.423 0.199
Cu 0.834 0.801 0.577
Ni 0.250 0.076 0.924
Ni 0.750 0.924 0.076
Se 0.465 0.659 0.530
Se 0.035 0.470 0.341
Se 0.535 0.341 0.470
Se 0.965 0.530 0.659
Se 0.828 0.015 0.372
Se 0.672 0.628 0.985
Se 0.172 0.985 0.628
Se 0.328 0.372 0.015
Se 0.117 0.806 0.013
Se 0.383 0.987 0.194
Se 0.883 0.194 0.987
Se 0.617 0.013 0.806

---

! Rb3TcBr2Cl6 | Alexandria via LeMat-Bulk | PBE | optimized geometry; values from VASP
! E_form (uncorrected) in eV per atom: -1.18
! Total magnetization in μB per atom: 0.154
! SG: No. 12
&SYSTEM
  ibrav = 0, nat = 12, ntyp = 4
/
ATOMIC_SPECIES
Rb 85.47 Rb.upf
Tc 98.00 Tc.upf
Br 79.90 Br.upf
Cl 35.45 Cl.upf
CELL_PARAMETERS angstrom
-3.574 -4.379 -0.169
6.449 -5.129 -3.482
-0.789 0.296 9.592
ATOMIC_POSITIONS crystal
Rb 0.000 0.500 0.000
Rb 0.500 0.500 0.500
Rb 0.500 0.000 0.500
Tc 0.500 0.000 0.000
Br 0.043 0.698 0.396
Br 0.957 0.302 0.604
Cl 0.725 0.249 0.125
Cl 0.275 0.751 0.875
Cl 0.756 0.893 0.786
Cl 0.244 0.107 0.214
Cl 0.275 0.124 0.875
Cl 0.725 0.876 0.125